Entry 1:
A plane-wave DFT calculation with PBE was carried out for a relaxed La5CePrY2 crystal.

E_form = 28 kJ per mole of atoms
Mass density = 5.89 g cm⁻³
Volume = 36.15 Å³ per atom

Geometry as CIF:
```
data_La5CePrY2
_chemical_formula_sum 'La10 Ce2 Pr2 Y4'
_space_group_name_H-M_alt 'P 4/m b m'
_space_group_IT_number 127
_space_group_name_Hall '-P 4 2ab'
_cell_length_a 8.413
_cell_length_b 8.413
_cell_length_c 9.193
_cell_angle_alpha 90.00
_cell_angle_beta 90.00
_cell_angle_gamma 90.00
loop_
_atom_site_label
_atom_site_type_symbol
_atom_site_fract_x
_atom_site_fract_y
_atom_site_fract_z
La1 La 0.000 0.000 0.000
La2 La 0.189 0.311 0.275
Ce1 Ce 0.000 0.500 0.500
Pr1 Pr 0.000 0.000 0.500
Y1 Y 0.129 0.629 0.000
```

=====

Entry 2:
A plane-wave DFT calculation with PBE was carried out for a relaxed Be5RuRh4 crystal.

E_form = -51 kJ per mole of atoms
Mass density = 8.56 g cm⁻³
Volume = 10.82 Å³ per atom

Geometry as CIF:
```
data_Be5RuRh4
_chemical_formula_sum 'Be5 Ru1 Rh4'
_space_group_name_H-M_alt 'P 4/m m m'
_space_group_IT_number 123
_space_group_name_Hall '-P 4 2'
_cell_length_a 2.785
_cell_length_b 2.785
_cell_length_c 13.950
_cell_angle_alpha 90.00
_cell_angle_beta 90.00
_cell_angle_gamma 90.00
loop_
_atom_site_label
_atom_site_type_symbol
_atom_site_fract_x
_atom_site_fract_y
_atom_site_fract_z
Be1 Be 0.000 0.000 0.000
Be2 Be 0.000 0.000 0.199
Be3 Be 0.000 0.000 0.396
Ru1 Ru 0.500 0.500 0.500
Rh1 Rh 0.500 0.500 0.100
Rh2 Rh 0.500 0.500 0.300
```

=====

Entry 3:
A plane-wave DFT calculation with PBE was carried out for a relaxed LiZrP crystal.

E_form = -14 kJ per mole of atoms
Mass density = 3.80 g cm⁻³
Volume = 18.79 Å³ per atom

Geometry as CIF:
```
data_LiZrP
_chemical_formula_sum 'Li1 Zr1 P1'
_space_group_name_H-M_alt 'P 3 m 1'
_space_group_IT_number 156
_cell_length_a 3.0761
_cell_length_b 3.0761
_cell_length_c 6.8806
_cell_angle_alpha 90.00
_cell_angle_beta 90.00
_cell_angle_gamma 120.00
loop_
_space_group_symop_operation_xyz
'x,y,z'
'-y,x-y,z'
'-x+y,-x,z'
'-y,-x,z'
'-x+y,y,z'
'x,x-y,z'
loop_
_atom_site_label
_atom_site_type_symbol
_atom_site_fract_x
_atom_site_fract_y
_atom_site_fract_z
Li1 Li 0.0000 0.0000 0.0000
Zr1 Zr 0.3333 0.6667 0.5834
P1 P 0.6667 0.3333 0.2807
```

=====

Entry 4:
A plane-wave DFT calculation with PBE was carried out for a relaxed ScSiMo2 crystal.

Raw formation energy = -241 meV/atom
Mass density = 6.74 g cm⁻³
Volume = 16.32 Å³ per atom

Geometry as CIF:
```
data_ScSiMo2
_chemical_formula_sum 'Sc1 Si1 Mo2'
_space_group_name_H-M_alt 'P 4 m m'
_space_group_IT_number 99
_cell_length_a 3.262
_cell_length_b 3.262
_cell_length_c 6.138
_cell_angle_alpha 90.00
_cell_angle_beta 90.00
_cell_angle_gamma 90.00
loop_
_space_group_symop_operation_xyz
'x,y,z'
'-y,x,z'
'-x,-y,z'
'y,-x,z'
'-x,y,z'
'y,x,z'
'x,-y,z'
'-y,-x,z'
loop_
_atom_site_label
_atom_site_type_symbol
_atom_site_fract_x
_atom_site_fract_y
_atom_site_fract_z
Sc1 Sc 0.000 0.000 0.000
Si1 Si 0.500 0.500 0.274
Mo1 Mo 0.000 0.000 0.484
Mo2 Mo 0.500 0.500 0.725
```

=====

Entry 5:
A plane-wave DFT calculation with PBE was carried out for a relaxed CrTc3 crystal.

E_form = 20 kJ per mole of atoms
Mass density = 10.20 g cm⁻³
Volume = 14.08 Å³ per atom

Geometry as CIF:
```
data_CrTc3
_chemical_formula_sum 'Cr3 Tc9'
_space_group_name_H-M_alt 'R -3 m'
_space_group_IT_number 166
_space_group_name_Hall '-R 3 2"'
_cell_length_a 8.5848
_cell_length_b 8.5848
_cell_length_c 2.6475
_cell_angle_alpha 90.00
_cell_angle_beta 90.00
_cell_angle_gamma 120.00
loop_
_atom_site_label
_atom_site_type_symbol
_atom_site_fract_x
_atom_site_fract_y
_atom_site_fract_z
Cr1 Cr 0.0000 0.0000 0.0000
Tc1 Tc 0.0000 0.5000 0.0000
```

=====

Entry 6:
A plane-wave DFT calculation with PBE was carried out for a relaxed La5HoTl3 crystal.

E_form = -28 kJ per mole of atoms
Mass density = 8.49 g cm⁻³
Volume = 32.02 Å³ per atom

Geometry as CIF:
```
data_La5HoTl3
_chemical_formula_sum 'La10 Ho2 Tl6'
_space_group_name_H-M_alt 'P 63/m c m'
_space_group_IT_number 193
_space_group_name_Hall '-P 6c 2'
_cell_length_a 9.7195
_cell_length_b 9.7195
_cell_length_c 7.0432
_cell_angle_alpha 90.00
_cell_angle_beta 90.00
_cell_angle_gamma 120.00
loop_
_atom_site_label
_atom_site_type_symbol
_atom_site_fract_x
_atom_site_fract_y
_atom_site_fract_z
La1 La 0.0000 0.3422 0.2500
La2 La 0.3333 0.6667 0.0000
Ho1 Ho 0.0000 0.0000 0.0000
Tl1 Tl 0.0000 0.3192 0.7500
```

=====

Entry 7:
A plane-wave DFT calculation with PBE was carried out for a relaxed K4Er3TiTe8 crystal.

Raw formation energy = -1222 meV/atom
Mass density = 5.21 g cm⁻³
Volume = 34.42 Å³ per atom

Geometry as CIF:
```
data_K4Er3TiTe8
_chemical_formula_sum 'K12 Er9 Ti3 Te24'
_space_group_name_H-M_alt 'R -3 m'
_space_group_IT_number 166
_space_group_name_Hall '-R 3 2"'
_cell_length_a 8.7921
_cell_length_b 8.7921
_cell_length_c 24.6808
_cell_angle_alpha 90.00
_cell_angle_beta 90.00
_cell_angle_gamma 120.00
loop_
_atom_site_label
_atom_site_type_symbol
_atom_site_fract_x
_atom_site_fract_y
_atom_site_fract_z
K1 K 0.0000 0.0000 0.0000
K2 K 0.0000 0.5000 0.0000
Er1 Er 0.0000 0.5000 0.5000
Ti1 Ti 0.0000 0.0000 0.5000
Te1 Te 0.0000 0.0000 0.2364
Te2 Te 0.0153 0.5077 0.2335
```

=====

Entry 8:
A plane-wave DFT calculation with PBE was carried out for a relaxed Pm3PrPt2 crystal.

Polymorph energy (0 for the lowest one) = 0 meV/atom
E_form = -72 kJ per mole of atoms
Mass density = 9.28 g cm⁻³
Volume = 28.80 Å³ per atom

Geometry as CIF:
```
data_Pm3PrPt2
_chemical_formula_sum 'Pm12 Pr4 Pt8'
_space_group_name_H-M_alt 'C 1 2/c 1'
_space_group_IT_number 15
_cell_length_a 13.122
_cell_length_b 6.947
_cell_length_c 7.957
_cell_angle_alpha 90.00
_cell_angle_beta 107.63
_cell_angle_gamma 90.00
loop_
_space_group_symop_operation_xyz
'x,y,z'
'-x,-y,-z'
'-x,y,-z+1/2'
'x,-y,z+1/2'
'x+1/2,y+1/2,z'
'-x+1/2,-y+1/2,-z'
'-x+1/2,y+1/2,-z+1/2'
'x+1/2,-y+1/2,z+1/2'
loop_
_atom_site_label
_atom_site_type_symbol
_atom_site_fract_x
_atom_site_fract_y
_atom_site_fract_z
Pm1 Pm 0.000 0.240 0.250
Pm2 Pm 0.215 0.499 0.607
Pr1 Pr 0.000 0.251 0.750
Pt1 Pt 0.124 0.000 0.062
```